Entry 1:
A geometry-optimized Cs2ScTiI6 structure. Source: Alexandria, functional GGA-PBE.

Properties
- Calculated volume: 408.4 Å³/f.u.
- Formation energy without anion corrections: -10.89 eV/f.u.
- D(E_F): 5.02 states/eV/cell

Lattice parameters (Å, degrees): 8.3278 8.3278 8.3278 60.00 60.00 60.00
Atoms (fractional coordinates):
Cs: 0.2500 0.2500 0.2500
Cs: 0.7500 0.7500 0.7500
Sc: 0.0000 0.0000 0.0000
Ti: 0.5000 0.5000 0.5000
I: 0.2504 0.2504 0.7496
I: 0.2504 0.7496 0.2504
I: 0.2504 0.7496 0.7496
I: 0.7496 0.2504 0.2504
I: 0.7496 0.2504 0.7496
I: 0.7496 0.7496 0.2504

***

Entry 2:
A geometry-optimized CsSc2TiI8 structure. Source: Alexandria, functional GGA-PBE.

Properties
- Calculated volume: 538.3 Å³/f.u.
- Formation energy without anion corrections: -12.10 eV/f.u.
- D(E_F): 4.39 states/eV/cell

Lattice parameters (Å, degrees): 11.7238 11.7238 11.7238 37.61 37.61 37.61
Atoms (fractional coordinates):
Cs: 0.0000 0.0000 0.0000
Sc: 0.2409 0.2409 0.2409
Sc: 0.7591 0.7591 0.7591
Ti: 0.5000 0.5000 0.5000
I: 0.1417 0.7694 0.4324
I: 0.2306 0.5676 0.8583
I: 0.3247 0.3247 0.3247
I: 0.4324 0.1417 0.7694
I: 0.5676 0.8583 0.2306
I: 0.6753 0.6753 0.6753
I: 0.7694 0.4324 0.1417
I: 0.8583 0.2306 0.5676

***

Entry 3:
A geometry-optimized CsScTlI6 structure. Source: Alexandria, functional GGA-PBE.

Properties
- Calculated volume: 471.1 Å³/f.u.
- Formation energy without anion corrections: -8.99 eV/f.u.
- D(E_F): 6.21 states/eV/cell

Lattice parameters (Å, degrees): 8.0928 8.0928 8.3044 90.00 90.00 120.00
Atoms (fractional coordinates):
Cs: 0.0000 0.0000 0.0000
Sc: 0.3333 0.6667 0.5000
Tl: 0.6667 0.3333 0.5000
I: 0.0316 0.3983 0.7117
I: 0.0316 0.6333 0.2883
I: 0.3667 0.3983 0.2883
I: 0.3667 0.9684 0.7117
I: 0.6017 0.6333 0.7117
I: 0.6017 0.9684 0.2883

***

Entry 4:
A geometry-optimized CsSc2TlI structure. Source: Alexandria, functional GGA-PBE.

Properties
- Calculated volume: 248.5 Å³/f.u.
- Formation energy without anion corrections: 1.19 eV/f.u.
- D(E_F): 5.34 states/eV/cell

Lattice parameters (Å, degrees): 5.5071 5.5071 8.1942 90.00 90.00 90.00
Atoms (fractional coordinates):
Cs: 0.0000 0.0000 0.0000
Sc: 0.0000 0.5000 0.5000
Sc: 0.5000 0.0000 0.5000
Tl: 0.5000 0.5000 0.5000
I: 0.5000 0.5000 0.0000